[1]
This record from the Alexandria database describes an optimized crystal structure of SrLiY2Mg. The functional is PBE.

Values from the calculation:
- N(E_F): 10.67 states/eV/cell
- Theoretical density: 3.037 g/cm3
- Total DFT energy (no corrections): -3.311 eV/atom

```
SrLiY2Mg
1.0
5.558 0.000 0.000
0.000 5.249 0.000
0.000 0.000 5.558
Y Sr Mg Li
2 1 1 1
direct
0.000 0.000 0.500
0.500 0.000 0.000
0.500 0.500 0.500
0.000 0.500 0.000
0.000 0.000 0.000
```

---

[2]
This record from the Alexandria database describes an optimized crystal structure of KGa3Tc. The functional is PBE.

Values from the calculation:
- N(E_F): 0.43 states/eV/cell
- Theoretical density: 5.146 g/cm3
- Energy above the lowest structure with this stoichiometry: 95 meV per atom
- Total DFT energy (no corrections): -4.190 eV/atom

```
KGa3Tc
1.0
4.987 -0.037 -0.010
1.878 9.567 -0.028
0.883 0.025 4.675
K Tc Ga
2 2 6
direct
0.336 0.082 0.147
0.762 0.257 0.635
0.727 0.731 0.088
0.371 0.608 0.693
0.554 0.846 0.602
0.544 0.493 0.179
0.074 0.453 0.013
0.205 0.743 0.219
0.894 0.596 0.562
0.024 0.886 0.768
```

---

[3]
This record from the Alexandria database describes an optimized crystal structure of Rb2BrN. The functional is PBE.

Values from the calculation:
- N(E_F): 0.00 states/eV/cell
- Theoretical density: 2.298 g/cm3
- Energy above the lowest structure with this stoichiometry: 0 meV per atom
- Uncorrected formation energy: -0.082 eV per atom
- Total DFT energy (no corrections): -3.065 eV/atom

```
Rb2BrN
1.0
6.989 0.000 0.000
0.000 6.989 0.000
3.495 3.495 7.838
Br Rb N
2 4 2
direct
0.000 0.000 0.000
0.750 0.250 0.500
0.572 0.125 0.250
0.178 0.625 0.250
0.375 0.428 0.750
0.875 0.822 0.750
0.500 0.500 0.000
0.250 0.750 0.500
```

---

[4]
This record from the Alexandria database describes an optimized crystal structure of Ac2PrCu. The functional is PBE.

Values from the calculation:
- N(E_F): 5.36 states/eV/cell
- Theoretical density: 8.011 g/cm3
- Energy above the lowest structure with this stoichiometry: 0 meV per atom
- Total DFT energy (no corrections): -4.297 eV/atom

```
Ac2PrCu
1.0
-3.266 2.038 -0.113
-1.625 -2.726 -2.182
-2.950 -4.307 7.576
Pr Ac Cu
1 2 1
direct
0.500 0.500 0.500
0.000 0.000 0.799
0.000 0.000 0.201
0.500 0.500 0.000
```

---

[5]
This record from the Alexandria database describes an optimized crystal structure of Ac8SbTe4Se3. The functional is PBE.

Values from the calculation:
- N(E_F): 7.35 states/eV/cell
- Theoretical density: 7.848 g/cm3
- Uncorrected formation energy: -1.606 eV per atom
- Total DFT energy (no corrections): -5.356 eV/atom

```
Ac8SbTe4Se3
1.0
9.242 0.000 0.000
0.000 9.351 0.070
-4.621 -4.617 6.538
Ac Sb Te Se
8 1 4 3
direct
0.248 0.730 0.982
0.248 0.730 0.495
0.259 0.276 0.517
0.734 0.730 0.982
0.266 0.270 0.018
0.741 0.724 0.483
0.752 0.270 0.505
0.752 0.270 0.018
0.000 0.500 0.000
0.500 0.000 0.000
0.500 0.000 0.500
0.000 0.000 0.000
0.000 0.000 0.500
0.500 0.500 0.000
0.500 0.500 0.500
0.000 0.500 0.500
```

---

[6]
This record from the Alexandria database describes an optimized crystal structure of AlTcTe2. The functional is PBE.

Values from the calculation:
- N(E_F): 1.47 states/eV/cell
- Theoretical density: 7.604 g/cm3
- Uncorrected formation energy: 0.238 eV per atom
- Total DFT energy (no corrections): -4.860 eV/atom

```
AlTcTe2
1.0
-0.105 -1.955 -2.673
2.511 -1.791 1.211
-4.928 -4.536 3.510
Te Tc Al
2 1 1
direct
0.000 0.000 0.969
0.000 0.000 0.531
0.500 0.500 0.750
0.500 0.500 0.250
```

---

[7]
This record from the Alexandria database describes an optimized crystal structure of RbCaPd4. The functional is PBE.

Values from the calculation:
- N(E_F): 5.40 states/eV/cell
- Theoretical density: 7.467 g/cm3
- Total DFT energy (no corrections): -4.244 eV/atom

```
RbCaPd4
1.0
5.576 0.000 0.000
2.788 4.829 0.000
2.788 1.610 4.553
Ca Rb Pd
1 1 4
direct
0.000 0.000 0.000
0.250 0.250 0.250
0.626 0.626 0.123
0.626 0.123 0.626
0.626 0.626 0.626
0.123 0.626 0.626
```

---

[8]
This record from the Alexandria database describes an optimized crystal structure of Rb3PrAl2O6. The functional is PBE.

Values from the calculation:
- N(E_F): 0.00 states/eV/cell
- Theoretical density: 3.614 g/cm3
- Uncorrected formation energy: -2.326 eV per atom
- Total DFT energy (no corrections): -6.069 eV/atom

```
Rb3PrAl2O6
1.0
-4.031 -3.514 -3.191
4.313 -2.694 3.594
-4.731 0.161 5.799
Rb Pr Al O
3 1 2 6
direct
0.333 0.667 0.750
0.667 0.333 0.250
0.000 0.000 0.000
0.000 0.000 0.500
0.667 0.333 0.703
0.333 0.667 0.297
0.651 0.825 0.298
0.175 0.349 0.298
0.175 0.825 0.298
0.825 0.651 0.702
0.349 0.175 0.702
0.825 0.175 0.702
```

---

[9]
This record from the Alexandria database describes an optimized crystal structure of Ta4H2N. The functional is PBE.

Values from the calculation:
- N(E_F): 3.25 states/eV/cell
- Theoretical density: 14.627 g/cm3
- Total DFT energy (no corrections): -9.135 eV/atom

```
Ta4H2N
1.0
-3.860 -0.331 -1.622
1.617 -1.642 -3.511
-1.527 -5.353 -0.711
H N Ta
2 1 4
direct
0.430 0.430 0.140
0.570 0.570 0.860
0.000 0.000 0.000
0.239 0.239 0.522
0.761 0.761 0.478
0.000 0.500 0.000
0.500 0.000 0.000
```

---

[10]
This record from the Alexandria database describes an optimized crystal structure of Rb3TcH6. The functional is PBE.

Values from the calculation:
- N(E_F): 6.77 states/eV/cell
- Theoretical density: 3.406 g/cm3
- Total DFT energy (no corrections): -3.398 eV/atom

```
Rb3TcH6
1.0
0.000 4.446 4.446
4.446 0.000 4.446
4.446 4.446 0.000
Rb Tc H
3 1 6
direct
0.250 0.250 0.250
0.500 0.500 0.500
0.750 0.750 0.750
0.000 0.000 0.000
0.799 0.201 0.799
0.201 0.799 0.201
0.799 0.799 0.201
0.201 0.201 0.799
0.799 0.201 0.201
0.201 0.799 0.799
```

---

[11]
This record from the Alexandria database describes an optimized crystal structure of La2PmPr2Cd. The functional is PBE.

Values from the calculation:
- N(E_F): 19.61 states/eV/cell
- Theoretical density: 6.695 g/cm3
- Total DFT energy (no corrections): -4.140 eV/atom

```
La2PmPr2Cd
1.0
-4.599 -0.833 3.545
6.067 -4.760 6.752
1.261 5.892 3.021
La Pm Pr Cd
4 2 4 2
direct
0.500 0.137 0.205
0.000 0.637 0.295
0.500 0.863 0.795
0.000 0.363 0.705
0.500 0.500 0.000
0.000 0.000 0.500
0.500 0.796 0.295
0.500 0.204 0.705
0.000 0.704 0.795
0.000 0.296 0.205
0.000 0.000 0.000
0.500 0.500 0.500
```

---

[12]
This record from the Alexandria database describes an optimized crystal structure of TiCuSi. The functional is PBE.

Values from the calculation:
- N(E_F): 6.72 states/eV/cell
- Theoretical density: 5.569 g/cm3
- Uncorrected formation energy: -0.543 eV per atom
- Total DFT energy (no corrections): -6.347 eV/atom

```
TiCuSi
1.0
-1.729 2.140 2.544
3.817 -2.143 4.398
4.573 5.328 -1.373
Si Cu Ti
4 4 4
direct
0.750 0.733 0.118
0.250 0.267 0.882
0.750 0.233 0.382
0.250 0.767 0.618
0.250 0.654 0.933
0.750 0.846 0.433
0.250 0.154 0.567
0.750 0.346 0.067
0.250 0.520 0.317
0.250 0.020 0.183
0.750 0.980 0.817
0.750 0.480 0.683
```

---

Question: Look up the total DFT energy (no corrections) of the twelfth one.
Answer: -6.347 eV/atom

---

Question: theoretical density of number 10 (Rb3TcH6)?
Answer: 3.406 g/cm3